The following is a GGA-PBE calculation of an optimized crystal structure of LuInFeIr, from OQMD.

Cell lengths 4.6876, 4.6876, 4.6876 Å; angles 60.00, 60.00, 60.00 degrees
Last column: nearest neighbours and their distance in Å.
Atoms (fractional coordinates):
Lu  0.0000  0.0000  0.0000  4 Ir 2.87, 4 In 2.87
In  0.2500  0.2500  0.2500  4 Fe 2.87, 4 Lu 2.87
Fe  0.5000  0.5000  0.5000  4 Ir 2.87, 4 In 2.87
Ir  0.7500  0.7500  0.7500  4 Lu 2.87, 4 Fe 2.87

Output
Relative energy among the computed polymorphs in meV per atom: 182
Symmetry: No. 216
Magnetization in μB per formula unit: 3.5